The following is a PBE+U calculation of crystalline AlNiP2O at its relaxed geometry, from Alexandria via LeMat-Bulk.

a b c (Å): 4.6039 4.6039 3.4492
angles (deg): 90.00 90.00 90.00
Last column: nearest neighbours and their distance in Å.
Space group P4/mmm (No. 123)
Inequivalent atoms, fractional coordinates:
1 Al 0.0000 0.0000 0.0000 (multiplicity 1)  8 P 2.88
2 Ni 0.5000 0.5000 0.5000 (multiplicity 1)  2 O 1.72
3 P 0.0000 0.5000 0.5000 (multiplicity 2)  2 Ni 2.30
4 O 0.5000 0.5000 0.0000 (multiplicity 1)  2 Ni 1.72

Results
* final energy: -4.039 eV per atom
* N(E_F): 0.754 states/eV/atom
* magnetic moment: 0.0 μB/f.u.
* energy above the lowest structure with this stoichiometry: 25.74 kJ per mole of atoms